No. 1
The following is a DFT calculation (PBE) of crystalline TmPuTlGe at its relaxed geometry.

abc: 5.2010 5.2010 5.2010
angles: 60.00 60.00 60.00
Closest atoms and distances in Å follow each position.
Positions (direct):
Ge 0.0000 0.0000 0.0000  4 Tm 3.18, 4 Pu 3.18
Tl 0.5000 0.5000 0.5000  4 Tm 3.18, 4 Pu 3.18
Pu 0.2500 0.2500 0.2500  4 Tl 3.18, 4 Ge 3.18
Tm 0.7500 0.7500 0.7500  4 Ge 3.18, 4 Tl 3.18

Properties
Energy of formation ... -262 meV per atom
Symmetry ... F-43m, No. 216
Uncorrected energy ... -6.71 eV per atom


No. 2
The following is a DFT calculation (PBE) of crystalline YPuTlGe at its relaxed geometry.

abc: 5.2391 5.2391 5.2391
angles: 60.00 60.00 60.00
Closest atoms and distances in Å follow each position.
Positions (direct):
Y 0.0000 0.0000 0.0000  4 Tl 3.21, 4 Ge 3.21
Pu 0.5000 0.5000 0.5000  4 Ge 3.21, 4 Tl 3.21
Ge 0.2500 0.2500 0.2500  4 Pu 3.21, 4 Y 3.21
Tl 0.7500 0.7500 0.7500  4 Y 3.21, 4 Pu 3.21

Properties
Energy of formation ... -289 meV per atom
Symmetry ... F-43m, No. 216
Uncorrected energy ... -7.23 eV per atom


No. 3
The following is a DFT calculation (PBE) of crystalline TmPu2Ge at its relaxed geometry.

abc: 3.4503 3.4503 10.5559
angles: 80.59 80.59 60.00
Closest atoms and distances in Å follow each position.
Positions (direct):
Pu 0.2616 0.2616 0.2151  3 Ge 2.99
Pu 0.7384 0.7384 0.7849  3 Ge 2.99
Ge 0.0000 0.0000 0.0000  6 Pu 2.99
Tm 0.5000 0.5000 0.5000  6 Tm 3.45, 6 Pu 3.56

Properties
Energy of formation ... 35 meV per atom
Symmetry ... R-3m, No. 166
Uncorrected energy ... -9.40 eV per atom
Energy above the lowest structure with this stoichiometry ... 325 meV/atom


No. 4
The following is a DFT calculation (PBE) of crystalline TmPu2Ge2 at its relaxed geometry.

abc: 3.7076 8.0954 8.1796
angles: 64.78 90.00 90.00
Closest atoms and distances in Å follow each position.
Positions (direct):
Tm 0.2500 0.9652 0.8227  6 Ge 2.89-3.07
Tm 0.7500 0.0348 0.1773  6 Ge 2.89-3.07
Ge 0.7500 0.7138 0.0789  4 Pu 2.88-3.04, 3 Tm 2.89-3.03
Ge 0.2500 0.8846 0.4888  2 Ge 2.69, 2 Tm 2.96
Ge 0.7500 0.1154 0.5112  2 Ge 2.69, 2 Tm 2.96
Ge 0.2500 0.2862 0.9211  4 Pu 2.88-3.04, 3 Tm 2.89-3.03
Pu 0.2500 0.3918 0.2358  1 Pu 2.48
Pu 0.2500 0.3998 0.5355  3 Pu 2.37-2.48
Pu 0.7500 0.6002 0.4645  3 Pu 2.37-2.48
Pu 0.7500 0.6082 0.7642  1 Pu 2.48

Properties
Energy of formation ... -395 meV per atom
Symmetry ... P2_1/m, No. 11
Uncorrected energy ... -8.87 eV per atom


No. 5
The following is a DFT calculation (PBE) of crystalline Tm2PuGe4 at its relaxed geometry.

abc: 3.9667 4.2331 9.5740
angles: 102.77 101.96 90.00
Closest atoms and distances in Å follow each position.
Positions (direct):
Pu 0.5000 0.0000 0.0000  8 Ge 3.16
Ge 0.6596 0.6596 0.3192  2 Ge 2.59, 1 Tm 2.89
Ge 0.9318 0.4318 0.8636  3 Ge 2.49-2.59
Ge 0.3404 0.3404 0.6808  2 Ge 2.59, 1 Tm 2.89
Ge 0.0682 0.5682 0.1364  3 Ge 2.49-2.59
Tm 0.1821 0.1821 0.3642  7 Ge 2.89-2.97
Tm 0.8179 0.8179 0.6358  7 Ge 2.89-2.97

Properties
Energy of formation ... -609 meV per atom
Symmetry ... Immm, No. 71
Uncorrected energy ... -6.57 eV per atom


No. 6
The following is a DFT calculation (PBE) of crystalline TmPu4Ge5 at its relaxed geometry.

abc: 3.8133 3.8133 14.3663
angles: 90.00 90.00 90.00
Closest atoms and distances in Å follow each position.
Positions (direct):
Ge 0.5000 0.5000 0.8982  2 Ge 2.92-3.11, 4 Tm 3.07, 4 Pu 3.18
Ge 0.5000 0.5000 0.3184  1 Ge 2.61
Ge 0.5000 0.5000 0.1018  2 Ge 2.92-3.11, 4 Tm 3.07, 4 Pu 3.18
Ge 0.5000 0.5000 0.6816  1 Ge 2.61
Ge 0.5000 0.5000 0.5000  2 Ge 2.61
Tm 0.0000 0.0000 0.0000  8 Ge 3.07, 2 Pu 3.16
Pu 0.0000 0.0000 0.2197  1 Pu 2.89, 8 Ge 3.05-3.18, 1 Tm 3.16
Pu 0.0000 0.0000 0.5794  1 Pu 2.28
Pu 0.0000 0.0000 0.7803  1 Pu 2.89, 8 Ge 3.05-3.18, 1 Tm 3.16
Pu 0.0000 0.0000 0.4206  1 Pu 2.28

Properties
Energy of formation ... -260 meV per atom
Symmetry ... P4/mmm, No. 123
Uncorrected energy ... -8.75 eV per atom


No. 7
The following is a DFT calculation (PBE) of crystalline TmPuGe4 at its relaxed geometry.

abc: 5.5652 5.5652 5.5652
angles: 60.00 60.00 60.00
Closest atoms and distances in Å follow each position.
Positions (direct):
Ge 0.6250 0.1251 0.6250  6 Ge 2.78
Ge 0.6250 0.6250 0.1251  6 Ge 2.78
Ge 0.1251 0.6250 0.6250  6 Ge 2.78
Ge 0.6250 0.6250 0.6250  6 Ge 2.78
Tm 0.2500 0.2500 0.2500  12 Ge 3.26, 4 Pu 3.41
Pu 0.0000 0.0000 0.0000  12 Ge 3.26, 4 Tm 3.41

Properties
Energy of formation ... -294 meV per atom
Symmetry ... F-43m, No. 216
Uncorrected energy ... -6.51 eV per atom


No. 8
The following is a DFT calculation (PBE) of crystalline TmPu2Ge3 at its relaxed geometry.

abc: 5.0320 5.0320 6.0684
angles: 90.00 90.00 120.00
Closest atoms and distances in Å follow each position.
Positions (direct):
Tm 0.0000 0.0000 0.0000  8 Ge 3.03-3.07
Ge 0.6667 0.3333 0.8345  5 Pu 2.99-3.08, 3 Tm 3.07
Ge 0.0000 0.0000 0.5000  2 Tm 3.03, 6 Pu 3.09
Ge 0.3333 0.6667 0.1655  5 Pu 2.99-3.08, 3 Tm 3.07
Pu 0.6667 0.3333 0.3267  8 Ge 2.99-3.09
Pu 0.3333 0.6667 0.6733  8 Ge 2.99-3.09

Properties
Energy of formation ... -436 meV per atom
Symmetry ... P-3m1, No. 164
Uncorrected energy ... -8.27 eV per atom


No. 9
The following is a DFT calculation (PBE) of crystalline Tm2PuGe at its relaxed geometry.

abc: 4.4373 4.6739 4.6739
angles: 90.00 90.00 90.00
Closest atoms and distances in Å follow each position.
Positions (direct):
Tm 0.0000 0.0000 0.5000  4 Ge 3.22, 4 Pu 3.22, 4 Tm 3.30
Tm 0.0000 0.5000 0.0000  4 Ge 3.22, 4 Pu 3.22, 4 Tm 3.30
Pu 0.5000 0.0000 0.0000  8 Tm 3.22, 4 Ge 3.30
Ge 0.5000 0.5000 0.5000  8 Tm 3.22, 4 Pu 3.30

Properties
Energy of formation ... -247 meV per atom
Symmetry ... P4/mmm, No. 123
Uncorrected energy ... -7.22 eV per atom
Energy above the lowest structure with this stoichiometry ... 0 meV/atom


No. 10
The following is a DFT calculation (PBE) of crystalline TmPu2Ge at its relaxed geometry.

abc: 4.9462 4.3651 4.3651
angles: 90.00 90.00 90.00
Closest atoms and distances in Å follow each position.
Positions (direct):
Tm 0.5000 0.5000 0.5000  4 Ge 3.09, 8 Pu 3.30
Pu 0.0000 0.0000 0.5000  4 Pu 3.09, 4 Ge 3.30, 4 Tm 3.30
Pu 0.0000 0.5000 0.0000  4 Pu 3.09, 4 Ge 3.30, 4 Tm 3.30
Ge 0.5000 0.0000 0.0000  4 Tm 3.09, 8 Pu 3.30

Properties
Energy of formation ... -290 meV per atom
Symmetry ... P4/mmm, No. 123
Uncorrected energy ... -9.73 eV per atom
Energy above the lowest structure with this stoichiometry ... 0 meV/atom


No. 11
The following is a DFT calculation (PBE) of crystalline Tm2PuGe at its relaxed geometry.

abc: 3.5191 3.5191 10.1416
angles: 80.01 80.01 60.00
Closest atoms and distances in Å follow each position.
Positions (direct):
Tm 0.2630 0.2630 0.2109  3 Ge 2.92
Tm 0.7370 0.7370 0.7891  3 Ge 2.92
Ge 0.0000 0.0000 0.0000  6 Tm 2.92
Pu 0.5000 0.5000 0.5000  6 Tm 3.52, 6 Pu 3.52

Properties
Energy of formation ... -150 meV per atom
Symmetry ... R-3m, No. 166
Uncorrected energy ... -7.12 eV per atom
Energy above the lowest structure with this stoichiometry ... 97 meV/atom


No. 12
The following is a DFT calculation (PBE) of crystalline TmPu3Ge4 at its relaxed geometry.

abc: 3.7454 6.5166 8.9129
angles: 111.45 102.13 90.00
Closest atoms and distances in Å follow each position.
Positions (direct):
Ge 0.3719 0.5666 0.7437  1 Ge 2.54
Ge 0.6282 0.8230 0.2564  1 Ge 2.54
Ge 0.6281 0.4334 0.2563  1 Ge 2.54
Ge 0.3718 0.1770 0.7436  1 Ge 2.54
Pu 0.2020 0.2021 0.4040  6 Ge 2.98-3.02
Pu 0.7980 0.7979 0.5960  6 Ge 2.98-3.02
Pu 0.0000 0.5000 0.0000  8 Ge 3.07
Tm 0.5000 0.0000 0.0000  4 Ge 2.87

Properties
Energy of formation ... -349 meV per atom
Symmetry ... Immm, No. 71
Uncorrected energy ... -8.59 eV per atom


No. 13
The following is a DFT calculation (PBE) of crystalline TmPuZnGe at its relaxed geometry.

abc: 5.0020 5.0020 5.0020
angles: 60.00 60.00 60.00
Closest atoms and distances in Å follow each position.
Positions (direct):
Pu 0.7500 0.7500 0.7500  4 Ge 3.06, 4 Zn 3.06
Zn 0.0000 0.0000 0.0000  4 Pu 3.06, 4 Tm 3.06
Ge 0.5000 0.5000 0.5000  4 Tm 3.06, 4 Pu 3.06
Tm 0.2500 0.2500 0.2500  4 Ge 3.06, 4 Zn 3.06

Properties
Energy of formation ... -378 meV per atom
Symmetry ... F-43m, No. 216
Uncorrected energy ... -6.55 eV per atom


No. 14
The following is a DFT calculation (PBE) of crystalline Pu4U3Ge2 at its relaxed geometry.

abc: 6.0522 8.1128 8.1128
angles: 86.11 99.34 99.34
Closest atoms and distances in Å follow each position.
Positions (direct):
Pu 0.6352 0.5127 0.8324  2 U 2.67-2.98, 1 Ge 2.98
Pu 0.9898 0.7604 0.1154  2 U 2.55-2.64
Pu 0.0102 0.2396 0.8846  2 U 2.55-2.64
Pu 0.8648 0.1676 0.4873  2 U 2.67-2.98, 1 Ge 2.98
Pu 0.1352 0.8324 0.5127  2 U 2.67-2.98, 1 Ge 2.98
Pu 0.5102 0.8846 0.2396  2 U 2.55-2.64
Pu 0.4898 0.1154 0.7604  2 U 2.55-2.64
Pu 0.3648 0.4873 0.1676  2 U 2.67-2.98, 1 Ge 2.98
Ge 0.6373 0.8070 0.5919  5 Pu 2.89-3.15, 4 U 2.94-3.06
Ge 0.1373 0.5919 0.8070  5 Pu 2.89-3.15, 4 U 2.94-3.06
Ge 0.3627 0.1930 0.4081  5 Pu 2.89-3.15, 4 U 2.94-3.06
Ge 0.8627 0.4081 0.1930  5 Pu 2.89-3.15, 4 U 2.94-3.06
U 0.2500 0.5368 0.4632  2 Pu 2.67
U 0.7500 0.4632 0.5368  2 Pu 2.67
U 0.5328 0.8338 0.9369  2 Pu 2.55-2.64
U 0.4672 0.1662 0.0631  2 Pu 2.55-2.64
U 0.9672 0.0631 0.1662  2 Pu 2.55-2.64
U 0.0328 0.9369 0.8338  2 Pu 2.55-2.64

Properties
Energy of formation ... -49 meV per atom
Symmetry ... C2/c, No. 15
Uncorrected energy ... -11.21 eV per atom


No. 15
The following is a DFT calculation (PBE) of crystalline Pu2U5Ge4 at its relaxed geometry.

abc: 3.6910 7.2226 9.1113
angles: 86.24 90.00 90.00
Closest atoms and distances in Å follow each position.
Positions (direct):
U 0.0000 0.8491 0.1094  2 U 2.77-2.86, 1 Pu 2.87, 2 Ge 2.96
U 0.0000 0.1509 0.8906  2 U 2.77-2.86, 1 Pu 2.87, 2 Ge 2.96
U 0.0000 0.5487 0.6471  1 Pu 2.71, 1 U 2.82, 2 Ge 2.95
U 0.0000 0.5000 0.0000  2 U 2.77, 4 Ge 2.97
U 0.0000 0.4513 0.3529  1 Pu 2.71, 1 U 2.82, 2 Ge 2.95
Ge 0.5000 0.2420 0.5939  4 U 2.95-3.17, 4 Pu 2.95-3.14
Ge 0.5000 0.7580 0.4061  4 U 2.95-3.17, 4 Pu 2.95-3.14
Ge 0.5000 0.7841 0.8638  2 Pu 2.86, 4 U 2.96-2.97
Ge 0.5000 0.2159 0.1362  2 Pu 2.86, 4 U 2.96-2.97
Pu 0.0000 0.0752 0.3565  2 U 2.71-2.87, 1 Pu 2.76, 4 Ge 2.86-2.95
Pu 0.0000 0.9248 0.6435  2 U 2.71-2.87, 1 Pu 2.76, 4 Ge 2.86-2.95

Properties
Energy of formation ... 16 meV per atom
Symmetry ... P2/m, No. 10
Uncorrected energy ... -9.40 eV per atom


No. 16
The following is a DFT calculation (PBE) of crystalline PuUGe at its relaxed geometry.

abc: 4.1315 6.0769 5.4977
angles: 90.00 67.93 90.00
Closest atoms and distances in Å follow each position.
Positions (direct):
Pu 0.3171 0.6912 0.3485  2 U 2.63, 2 Ge 2.91
Pu 0.6377 0.1912 0.7073  2 U 2.63, 2 Ge 2.91
Ge 0.6162 0.6938 0.7501  5 Pu 2.91-3.06, 4 U 2.98-3.00
Ge 0.3386 0.1938 0.3057  5 Pu 2.91-3.06, 4 U 2.98-3.00
U 0.0220 0.3776 0.9384  2 Pu 2.63
U 0.9327 0.8776 0.1173  2 Pu 2.63

Properties
Energy of formation ... -206 meV per atom
Symmetry ... Cmc2_1, No. 36
Uncorrected energy ... -10.29 eV per atom
Energy above the lowest structure with this stoichiometry ... 50 meV/atom


No. 17
The following is a DFT calculation (PBE) of crystalline PuUGe at its relaxed geometry.

abc: 3.8499 3.8499 5.1266
angles: 112.05 112.05 90.00
Closest atoms and distances in Å follow each position.
Positions (direct):
Pu 0.9333 0.9333 0.8666  1 U 2.60
Ge 0.2830 0.2830 0.5660  5 U 3.02-3.05, 5 Pu 3.02-3.04
U 0.6337 0.6337 0.2673  1 Pu 2.60

Properties
Energy of formation ... -257 meV per atom
Symmetry ... I4mm, No. 107
Uncorrected energy ... -10.34 eV per atom
Energy above the lowest structure with this stoichiometry ... 0 meV/atom


No. 18
The following is a DFT calculation (PBE) of crystalline Pu4UGe5 at its relaxed geometry.

abc: 3.2254 3.2254 20.7589
angles: 90.00 90.00 90.00
Closest atoms and distances in Å follow each position.
Positions (direct):
U 0.0000 0.0000 0.0000  8 Ge 3.06, 4 U 3.23
Pu 0.0000 0.0000 0.1978  8 Ge 3.08-3.10, 4 Pu 3.23
Pu 0.0000 0.0000 0.8022  8 Ge 3.08-3.10, 4 Pu 3.23
Pu 0.0000 0.0000 0.3992  8 Ge 3.09-3.10, 4 Pu 3.23
Pu 0.0000 0.0000 0.6008  8 Ge 3.09-3.10, 4 Pu 3.23
Ge 0.5000 0.5000 0.2986  8 Pu 3.09-3.10, 4 Ge 3.23
Ge 0.5000 0.5000 0.7014  8 Pu 3.09-3.10, 4 Ge 3.23
Ge 0.5000 0.5000 0.5000  8 Pu 3.10, 4 Ge 3.23
Ge 0.5000 0.5000 0.9021  4 U 3.06, 4 Pu 3.08, 4 Ge 3.23
Ge 0.5000 0.5000 0.0979  4 U 3.06, 4 Pu 3.08, 4 Ge 3.23

Properties
Energy of formation ... -381 meV per atom
Symmetry ... P4/mmm, No. 123
Uncorrected energy ... -9.55 eV per atom


No. 19
The following is a DFT calculation (PBE) of crystalline Pu2U4Ge3 at its relaxed geometry.

abc: 5.0967 5.4570 8.0528
angles: 82.69 96.55 57.31
Closest atoms and distances in Å follow each position.
Positions (direct):
U 0.9692 0.1565 0.3559  1 Pu 2.52, 1 U 2.58
U 0.0308 0.8435 0.6441  1 Pu 2.52, 1 U 2.58
U 0.3052 0.3365 0.0261  1 Pu 2.50, 1 U 2.56
U 0.6948 0.6635 0.9739  1 Pu 2.50, 1 U 2.56
Ge 0.3280 0.1952 0.6685  6 U 2.97-3.07, 4 Pu 3.00-3.14
Ge 0.0000 0.0000 0.0000  8 U 2.99-3.09, 2 Pu 3.09
Ge 0.6720 0.8048 0.3315  6 U 2.97-3.07, 4 Pu 3.00-3.14
Pu 0.6298 0.5399 0.6897  2 U 2.50-2.52
Pu 0.3702 0.4601 0.3103  2 U 2.50-2.52

Properties
Energy of formation ... -336 meV per atom
Symmetry ... P-1, No. 2
Uncorrected energy ... -10.08 eV per atom


No. 20
The following is a DFT calculation (PBE) of crystalline PuUGe at its relaxed geometry.

abc: 3.1393 4.7027 4.7027
angles: 120.00 90.00 90.00
Closest atoms and distances in Å follow each position.
Positions (direct):
Ge 0.3619 0.3333 0.6667  3 Pu 2.92, 6 U 3.02-3.26, 2 Ge 3.14
U 0.9382 0.0000 0.0000  3 Pu 2.82, 3 Ge 3.02, 2 U 3.14
Pu 0.7000 0.6667 0.3333  3 U 2.82, 3 Ge 2.92, 2 Pu 3.14

Properties
Energy of formation ... -82 meV per atom
Symmetry ... P3m1, No. 156
Uncorrected energy ... -10.16 eV per atom
Energy above the lowest structure with this stoichiometry ... 175 meV/atom